The following is a PBE calculation of a geometry-optimized KAgSnBr2 structure, from Alexandria.

CIF file:
```
data_KAgSnBr2
_chemical_formula_sum 'K1 Ag1 Sn1 Br2'
_cell_length_a 5.800
_cell_length_b 5.800
_cell_length_c 5.245
_cell_angle_alpha 90.00
_cell_angle_beta 90.00
_cell_angle_gamma 90.00
_symmetry_space_group_name_H-M 'P 4/m m m'
_symmetry_Int_Tables_number 123
_symmetry_space_group_name_Hall '-P 4 2'
loop_
_atom_site_label
_atom_site_type_symbol
_atom_site_fract_x
_atom_site_fract_y
_atom_site_fract_z
_atom_site_occupancy
K1 K 0.000 0.000 0.000 1
Ag1 Ag 0.500 0.500 0.500 1
Sn1 Sn 0.500 0.500 0.000 1
Br1 Br 0.000 0.500 0.500 1
```

Results
theoretical density	4.0	g cm⁻³
formation energy without anion corrections	-0.3670	eV per atom

=====

The following is a PBE calculation of a geometry-optimized Tb8CdRu2 structure, from Alexandria.

CIF file:
```
data_Tb8CdRu2
_chemical_formula_sum 'Tb16 Cd2 Ru4'
_cell_length_a 8.749
_cell_length_b 13.115
_cell_length_c 5.518
_cell_angle_alpha 90.00
_cell_angle_beta 103.49
_cell_angle_gamma 90.00
_symmetry_space_group_name_H-M 'C 1 2/m 1'
_symmetry_Int_Tables_number 12
_symmetry_space_group_name_Hall '-C 2y'
loop_
_atom_site_label
_atom_site_type_symbol
_atom_site_fract_x
_atom_site_fract_y
_atom_site_fract_z
_atom_site_occupancy
Tb1 Tb 0.000 0.249 0.000 1
Tb2 Tb 0.115 0.500 0.800 1
Tb3 Tb 0.197 0.131 0.579 1
Cd1 Cd 0.000 0.000 0.000 1
Ru1 Ru 0.000 0.311 0.500 1
```

Results
theoretical density	8.6	g cm⁻³
ΔH_f (0 K)	-188	meV per atom

=====

The following is a PBE calculation of a geometry-optimized CrGe2Pd structure, from Alexandria.

CIF file:
```
data_CrGe2Pd
_chemical_formula_sum 'Cr4 Ge8 Pd4'
_cell_length_a 6.140
_cell_length_b 6.140
_cell_length_c 6.140
_cell_angle_alpha 90.00
_cell_angle_beta 90.00
_cell_angle_gamma 90.00
_symmetry_space_group_name_H-M 'F m -3 m'
_symmetry_Int_Tables_number 225
_symmetry_space_group_name_Hall '-F 4 2 3'
loop_
_atom_site_label
_atom_site_type_symbol
_atom_site_fract_x
_atom_site_fract_y
_atom_site_fract_z
_atom_site_occupancy
Cr1 Cr 0.000 0.000 0.000 1
Ge1 Ge 0.250 0.250 0.250 1
Pd1 Pd 0.000 0.000 0.500 1
```

Results
theoretical density	8.7	g cm⁻³
ΔE to the lowest computed polymorph	0	meV/atom
ΔH_f (0 K)	68	meV per atom

=====

The following is a PBE calculation of a geometry-optimized CuAsRu2 structure, from Alexandria.

CIF file:
```
data_CuAsRu2
_chemical_formula_sum 'Cu2 As2 Ru4'
_cell_length_a 2.944
_cell_length_b 4.853
_cell_length_c 8.193
_cell_angle_alpha 90.00
_cell_angle_beta 90.00
_cell_angle_gamma 90.00
_symmetry_space_group_name_H-M 'C m m m'
_symmetry_Int_Tables_number 65
_symmetry_space_group_name_Hall '-C 2 2'
loop_
_atom_site_label
_atom_site_type_symbol
_atom_site_fract_x
_atom_site_fract_y
_atom_site_fract_z
_atom_site_occupancy
Cu1 Cu 0.000 0.000 0.000 1
As1 As 0.000 0.000 0.500 1
Ru1 Ru 0.000 0.500 0.264 1
```

Results
theoretical density	9.7	g cm⁻³
ΔH_f (0 K)	409	meV per atom

=====

The following is a PBE calculation of a geometry-optimized Zr2ScZn structure, from Alexandria.

CIF file:
```
data_Zr2ScZn
_chemical_formula_sum 'Zr4 Sc2 Zn2'
_cell_length_a 4.305
_cell_length_b 4.305
_cell_length_c 8.956
_cell_angle_alpha 90.00
_cell_angle_beta 90.00
_cell_angle_gamma 90.00
_symmetry_space_group_name_H-M 'I -4 m 2'
_symmetry_Int_Tables_number 119
_symmetry_space_group_name_Hall 'I -4 -2'
loop_
_atom_site_label
_atom_site_type_symbol
_atom_site_fract_x
_atom_site_fract_y
_atom_site_fract_z
_atom_site_occupancy
Zr1 Zr 0.000 0.000 0.000 1
Zr2 Zr 0.000 0.500 0.250 1
Sc1 Sc 0.000 0.500 0.750 1
Zn1 Zn 0.000 0.000 0.500 1
```

Results
theoretical density	5.9	g cm⁻³
ΔH_f (0 K)	-88	meV per atom

=====

The following is a PBE calculation of a geometry-optimized Tb6Y12Cd structure, from Alexandria.

CIF file:
```
data_Tb6Y12Cd
_chemical_formula_sum 'Tb18 Y36 Cd3'
_cell_length_a 11.8773
_cell_length_b 11.8773
_cell_length_c 15.0406
_cell_angle_alpha 90.00
_cell_angle_beta 90.00
_cell_angle_gamma 120.00
_symmetry_space_group_name_H-M 'R -3'
_symmetry_Int_Tables_number 148
_symmetry_space_group_name_Hall '-R 3'
loop_
_atom_site_label
_atom_site_type_symbol
_atom_site_fract_x
_atom_site_fract_y
_atom_site_fract_z
_atom_site_occupancy
Tb1 Tb 0.0214 0.4284 0.1895 1
Y1 Y 0.0085 0.1786 0.3143 1
Y2 Y 0.0476 0.8504 0.9147 1
Cd1 Cd 0.0000 0.0000 0.5000 1
```

Results
theoretical density	5.8	g cm⁻³
ΔE to the lowest computed polymorph	0	meV/atom
ΔH_f (0 K)	96	meV per atom

=====

The following is a PBE calculation of a geometry-optimized Cs2Na2As structure, from Alexandria.

CIF file:
```
data_Cs2Na2As
_chemical_formula_sum 'Cs4 Na4 As2'
_cell_length_a 8.007
_cell_length_b 8.007
_cell_length_c 6.413
_cell_angle_alpha 90.00
_cell_angle_beta 90.00
_cell_angle_gamma 90.00
_symmetry_space_group_name_H-M 'P 4/m b m'
_symmetry_Int_Tables_number 127
_symmetry_space_group_name_Hall '-P 4 2ab'
loop_
_atom_site_label
_atom_site_type_symbol
_atom_site_fract_x
_atom_site_fract_y
_atom_site_fract_z
_atom_site_occupancy
Cs1 Cs 0.208 0.292 0.000 1
Na1 Na 0.165 0.665 0.500 1
As1 As 0.000 0.000 0.500 1
```

Results
theoretical density	3.1	g cm⁻³
ΔE to the lowest computed polymorph	129	meV/atom
ΔH_f (0 K)	-133	meV per atom

=====

The following is a PBE calculation of a geometry-optimized MoIrRu structure, from Alexandria.

CIF file:
```
data_MoIrRu
_chemical_formula_sum 'Mo4 Ir4 Ru4'
_cell_length_a 5.921
_cell_length_b 5.921
_cell_length_c 5.921
_cell_angle_alpha 90.00
_cell_angle_beta 90.00
_cell_angle_gamma 90.00
_symmetry_space_group_name_H-M 'F -4 3 m'
_symmetry_Int_Tables_number 216
_symmetry_space_group_name_Hall 'F -4 2 3'
loop_
_atom_site_label
_atom_site_type_symbol
_atom_site_fract_x
_atom_site_fract_y
_atom_site_fract_z
_atom_site_occupancy
Mo1 Mo 0.000 0.000 0.000 1
Ir1 Ir 0.250 0.250 0.750 1
Ru1 Ru 0.250 0.250 0.250 1
```

Results
theoretical density	12.5	g cm⁻³
ΔE to the lowest computed polymorph	510	meV/atom
ΔH_f (0 K)	334	meV per atom

=====

Please write out number 1 again, unchanged.
The following is a PBE calculation of a geometry-optimized KAgSnBr2 structure, from Alexandria.

CIF file:
```
data_KAgSnBr2
_chemical_formula_sum 'K1 Ag1 Sn1 Br2'
_cell_length_a 5.800
_cell_length_b 5.800
_cell_length_c 5.245
_cell_angle_alpha 90.00
_cell_angle_beta 90.00
_cell_angle_gamma 90.00
_symmetry_space_group_name_H-M 'P 4/m m m'
_symmetry_Int_Tables_number 123
_symmetry_space_group_name_Hall '-P 4 2'
loop_
_atom_site_label
_atom_site_type_symbol
_atom_site_fract_x
_atom_site_fract_y
_atom_site_fract_z
_atom_site_occupancy
K1 K 0.000 0.000 0.000 1
Ag1 Ag 0.500 0.500 0.500 1
Sn1 Sn 0.500 0.500 0.000 1
Br1 Br 0.000 0.500 0.500 1
```

Results
theoretical density	4.0	g cm⁻³
formation energy without anion corrections	-0.3670	eV per atom

=====

- The lowest theoretical density belongs to which entry?
  Cs2Na2As